# 1
# Pr2HfPb, relaxed, DFT PBE
data_Pr2HfPb
_chemical_formula_sum 'Pr6 Hf3 Pb3'
_symmetry_space_group_name_H-M 'R -3 m'
_symmetry_Int_Tables_number 166
_symmetry_space_group_name_Hall '-R 3 2"'
_cell_length_a 3.3699
_cell_length_b 3.3699
_cell_length_c 36.5154
_cell_angle_alpha 90.00
_cell_angle_beta 90.00
_cell_angle_gamma 120.00
loop_
_atom_site_label
_atom_site_fract_x
_atom_site_fract_y
_atom_site_fract_z
Pr1 0.0000 0.0000 0.0877
Hf1 0.0000 0.0000 0.0000
Pb1 0.0000 0.0000 0.5000
# VASP energy ... -5.537 eV/atom
# Energy relative to the elements ... 0.2679 eV per atom
# Theoretical density ... 9.26 g/cm3



# 2
# Na2BRh, relaxed, DFT PBE
data_Na2BRh
_chemical_formula_sum 'Na8 B4 Rh4'
_symmetry_space_group_name_H-M 'I -4 2 d'
_symmetry_Int_Tables_number 122
_symmetry_space_group_name_Hall 'I -4 2bw'
_cell_length_a 9.978
_cell_length_b 9.978
_cell_length_c 3.922
_cell_angle_alpha 90.00
_cell_angle_beta 90.00
_cell_angle_gamma 90.00
loop_
_atom_site_label
_atom_site_fract_x
_atom_site_fract_y
_atom_site_fract_z
Na1 0.077 0.250 0.125
B1 0.000 0.000 0.000
Rh1 0.000 0.000 0.500
# VASP energy ... -3.759 eV/atom
# Energy relative to the elements ... 0.4075 eV per atom
# Theoretical density ... 2.72 g/cm3



# 3
# Sr6Pb2Au, relaxed, DFT PBE
data_Sr6Pb2Au
_chemical_formula_sum 'Sr12 Pb4 Au2'
_symmetry_space_group_name_H-M 'P 1 21/c 1'
_symmetry_Int_Tables_number 14
_symmetry_space_group_name_Hall '-P 2ybc'
_cell_length_a 7.532
_cell_length_b 9.011
_cell_length_c 13.195
_cell_angle_alpha 90.00
_cell_angle_beta 123.40
_cell_angle_gamma 90.00
loop_
_atom_site_label
_atom_site_fract_x
_atom_site_fract_y
_atom_site_fract_z
Sr1 0.099 0.180 0.439
Sr2 0.285 0.679 0.440
Sr3 0.385 0.033 0.264
Pb1 0.202 0.114 0.747
Au1 0.000 0.000 0.000
# VASP energy ... -2.789 eV/atom
# Energy relative to the elements ... -0.4800 eV per atom
# Theoretical density ... 5.05 g/cm3